{
  "formula": "NbFeO4",
  "functional": "meta-GGA SCAN",
  "state": "PBEsol geometry",
  "cell": [[4.960, 0.000, 0.000], [0.000, 4.699, 0.000], [0.000, 0.000, 5.647]],
  "species": ["Nb", "Nb", "Fe", "Fe", "O", "O", "O", "O", "O", "O", "O", "O"],
  "fractional_positions": [[0.000, 0.000, 0.000], [0.000, 0.500, 0.500], [0.500, 0.000, 0.625], [0.500, 0.500, 0.125], [0.173, 0.226, 0.697], [0.173, 0.274, 0.197], [0.320, 0.729, 0.419], [0.320, 0.771, 0.919], [0.680, 0.229, 0.919], [0.680, 0.271, 0.419], [0.827, 0.726, 0.197], [0.827, 0.774, 0.697]]
}

=====

{
  "formula": "NbFeO4",
  "functional": "meta-GGA SCAN",
  "state": "PBEsol geometry",
  "cell": [[-1.936, 1.936, 4.975], [1.936, -1.936, 4.975], [1.936, 1.936, -4.975]],
  "species": ["Nb", "Fe", "O", "O", "O", "O"],
  "fractional_positions": [[0.000, 0.000, 0.000], [0.750, 0.250, 0.500], [0.203, 0.203, 0.000], [0.540, 0.040, 0.500], [0.797, 0.797, 0.000], [0.960, 0.460, 0.500]]
}

=====

{
  "formula": "NbFeO4",
  "functional": "meta-GGA SCAN",
  "state": "PBEsol geometry",
  "cell": [[6.294, -1.926, 0.000], [6.294, 1.926, 0.000], [-1.997, 0.000, 6.379]],
  "species": ["Nb", "Nb", "Fe", "Fe", "O", "O", "O", "O", "O", "O", "O", "O"],
  "fractional_positions": [[0.105, 0.105, 0.228], [0.895, 0.895, 0.772], [0.195, 0.195, 0.809], [0.805, 0.805, 0.191], [0.055, 0.055, 0.867], [0.138, 0.138, 0.515], [0.255, 0.255, 0.147], [0.365, 0.365, 0.799], [0.635, 0.635, 0.201], [0.745, 0.745, 0.853], [0.862, 0.862, 0.485], [0.945, 0.945, 0.133]]
}

=====

{
  "formula": "NbFeO4",
  "functional": "meta-GGA SCAN",
  "state": "PBEsol geometry",
  "cell": [[4.619, 0.000, 0.000], [0.000, 5.586, 0.000], [-0.059, 0.000, 9.984]],
  "species": ["Nb", "Nb", "Nb", "Nb", "Fe", "Fe", "Fe", "Fe", "O", "O", "O", "O", "O", "O", "O", "O", "O", "O", "O", "O", "O", "O", "O", "O"],
  "fractional_positions": [[0.000, 0.000, 0.000], [0.004, 0.640, 0.246], [0.500, 0.450, 0.500], [0.996, 0.640, 0.754], [0.000, 0.960, 0.500], [0.497, 0.127, 0.741], [0.500, 0.472, 0.000], [0.503, 0.127, 0.259], [0.220, 0.931, 0.657], [0.228, 0.700, 0.420], [0.231, 0.923, 0.165], [0.232, 0.697, 0.914], [0.254, 0.186, 0.424], [0.269, 0.425, 0.168], [0.273, 0.196, 0.913], [0.277, 0.427, 0.668], [0.723, 0.427, 0.332], [0.727, 0.196, 0.087], [0.731, 0.425, 0.832], [0.746, 0.186, 0.576], [0.768, 0.697, 0.086], [0.769, 0.923, 0.835], [0.772, 0.700, 0.580], [0.780, 0.931, 0.343]]
}

=====

Computed density, in the same sequence as the records: 5.368, 4.737, 4.568, 5.486 g cm⁻³.
Computed formation energy (no corrections), in the same sequence as the records: -220.02, -214.22, -220.51, -216.84 kJ per mole of atoms.